Entry 1:
# BaCd2Br GGA-PBE relaxed
data_BaCd2Br
_chemical_formula_sum 'Ba1 Cd2 Br1'
_cell_length_a 5.6780
_cell_length_b 5.6780
_cell_length_c 5.6780
_cell_angle_alpha 60.00
_cell_angle_beta 60.00
_cell_angle_gamma 60.00
_symmetry_space_group_name_H-M 'P 1'
_symmetry_Int_Tables_number 1
_symmetry_space_group_name_Hall 'P 1'
loop_
_atom_site_label
_atom_site_fract_x
_atom_site_fract_y
_atom_site_fract_z
Ba1 0.0000 0.0000 0.0000
Cd1 0.2500 0.2500 0.2500
Cd2 0.5000 0.5000 0.5000
Br1 0.7500 0.7500 0.7500
# Formation energy (no corrections)   -2.42 eV/f.u.
# Excess energy over the best structure of this formula in the dataset   136 meV per atom
# Size of the total moment   0.0 μB/f.u.
# Electronic total energy   -1.960 eV per atom

Entry 2:
# Ba2Cd2Br GGA-PBE relaxed
data_Ba2Cd2Br
_chemical_formula_sum 'Ba4 Cd4 Br2'
_cell_length_a 9.3479
_cell_length_b 9.3479
_cell_length_c 4.5226
_cell_angle_alpha 90.00
_cell_angle_beta 90.00
_cell_angle_gamma 90.00
_symmetry_space_group_name_H-M 'P 1'
_symmetry_Int_Tables_number 1
_symmetry_space_group_name_Hall 'P 1'
loop_
_atom_site_label
_atom_site_fract_x
_atom_site_fract_y
_atom_site_fract_z
Ba1 0.1811 0.3189 0.0000
Ba2 0.3189 0.8189 0.0000
Ba3 0.6811 0.1811 0.0000
Ba4 0.8189 0.6811 0.0000
Cd1 0.1123 0.6123 0.5000
Cd2 0.3877 0.1123 0.5000
Cd3 0.6123 0.8877 0.5000
Cd4 0.8877 0.3877 0.5000
Br1 0.0000 0.0000 0.5000
Br2 0.5000 0.5000 0.5000
# Formation energy (no corrections)   -2.90 eV/f.u.
# Excess energy over the best structure of this formula in the dataset   108 meV per atom
# Size of the total moment   0.0 μB/f.u.
# Electronic total energy   -2.049 eV per atom

Entry 3:
# BaCd4Br12 GGA-PBE relaxed
data_BaCd4Br12
_chemical_formula_sum 'Ba1 Cd4 Br12'
_cell_length_a 9.0310
_cell_length_b 9.0310
_cell_length_c 9.0310
_cell_angle_alpha 109.47
_cell_angle_beta 109.47
_cell_angle_gamma 109.47
_symmetry_space_group_name_H-M 'P 1'
_symmetry_Int_Tables_number 1
_symmetry_space_group_name_Hall 'P 1'
loop_
_atom_site_label
_atom_site_fract_x
_atom_site_fract_y
_atom_site_fract_z
Ba1 0.0000 0.0000 0.0000
Cd1 0.0000 0.0000 0.5000
Cd2 0.0000 0.5000 0.0000
Cd3 0.5000 0.0000 0.0000
Cd4 0.5000 0.5000 0.5000
Br1 0.1347 0.3010 0.8336
Br2 0.1664 0.4674 0.3010
Br3 0.1664 0.8653 0.6990
Br4 0.3010 0.1664 0.4674
Br5 0.3010 0.8336 0.1347
Br6 0.4674 0.3010 0.1664
Br7 0.5326 0.6990 0.8336
Br8 0.6990 0.1664 0.8653
Br9 0.6990 0.8336 0.5326
Br10 0.8336 0.1347 0.3010
Br11 0.8336 0.5326 0.6990
Br12 0.8653 0.6990 0.1664
# Formation energy (no corrections)   -14.16 eV/f.u.
# Size of the total moment   2.2 μB/f.u.
# Electronic total energy   -2.342 eV per atom

Entry 4:
# Ba2Cd2Br GGA-PBE relaxed
data_Ba2Cd2Br
_chemical_formula_sum 'Ba2 Cd2 Br1'
_cell_length_a 6.7648
_cell_length_b 6.7648
_cell_length_c 6.7648
_cell_angle_alpha 120.98
_cell_angle_beta 120.98
_cell_angle_gamma 88.31
_symmetry_space_group_name_H-M 'P 1'
_symmetry_Int_Tables_number 1
_symmetry_space_group_name_Hall 'P 1'
loop_
_atom_site_label
_atom_site_fract_x
_atom_site_fract_y
_atom_site_fract_z
Ba1 0.2500 0.7500 0.5000
Ba2 0.7500 0.2500 0.5000
Cd1 0.1404 0.1404 0.0000
Cd2 0.8596 0.8596 0.0000
Br1 0.5000 0.5000 0.0000
# Formation energy (no corrections)   -2.17 eV/f.u.
# Excess energy over the best structure of this formula in the dataset   254 meV per atom
# Size of the total moment   0.0 μB/f.u.
# Electronic total energy   -1.904 eV per atom

Entry 5:
# BaCd2Br GGA-PBE relaxed
data_BaCd2Br
_chemical_formula_sum 'Ba1 Cd2 Br1'
_cell_length_a 5.8050
_cell_length_b 5.8050
_cell_length_c 5.8050
_cell_angle_alpha 60.00
_cell_angle_beta 60.00
_cell_angle_gamma 60.00
_symmetry_space_group_name_H-M 'P 1'
_symmetry_Int_Tables_number 1
_symmetry_space_group_name_Hall 'P 1'
loop_
_atom_site_label
_atom_site_fract_x
_atom_site_fract_y
_atom_site_fract_z
Ba1 0.0000 0.0000 0.0000
Cd1 0.2500 0.2500 0.2500
Cd2 0.7500 0.7500 0.7500
Br1 0.5000 0.5000 0.5000
# Formation energy (no corrections)   -1.65 eV/f.u.
# Excess energy over the best structure of this formula in the dataset   327 meV per atom
# Size of the total moment   0.0 μB/f.u.
# Electronic total energy   -1.769 eV per atom

Entry 6:
# BaCd2Br GGA-PBE relaxed
data_BaCd2Br
_chemical_formula_sum 'Ba1 Cd2 Br1'
_cell_length_a 4.6145
_cell_length_b 4.6145
_cell_length_c 6.2130
_cell_angle_alpha 90.00
_cell_angle_beta 90.00
_cell_angle_gamma 90.00
_symmetry_space_group_name_H-M 'P 1'
_symmetry_Int_Tables_number 1
_symmetry_space_group_name_Hall 'P 1'
loop_
_atom_site_label
_atom_site_fract_x
_atom_site_fract_y
_atom_site_fract_z
Ba1 0.0000 0.0000 0.0000
Cd1 0.0000 0.5000 0.5000
Cd2 0.5000 0.0000 0.5000
Br1 0.5000 0.5000 0.0000
# Formation energy (no corrections)   -2.92 eV/f.u.
# Excess energy over the best structure of this formula in the dataset   9 meV per atom
# Size of the total moment   0.0 μB/f.u.
# Electronic total energy   -2.087 eV per atom

Entry 7:
# Ba4Cd2Br GGA-PBE relaxed
data_Ba4Cd2Br
_chemical_formula_sum 'Ba4 Cd2 Br1'
_cell_length_a 9.4983
_cell_length_b 9.4983
_cell_length_c 9.4983
_cell_angle_alpha 140.55
_cell_angle_beta 140.55
_cell_angle_gamma 57.02
_symmetry_space_group_name_H-M 'P 1'
_symmetry_Int_Tables_number 1
_symmetry_space_group_name_Hall 'P 1'
loop_
_atom_site_label
_atom_site_fract_x
_atom_site_fract_y
_atom_site_fract_z
Ba1 0.0000 0.5000 0.5000
Ba2 0.2024 0.2024 0.0000
Ba3 0.5000 0.0000 0.5000
Ba4 0.7976 0.7976 0.0000
Cd1 0.4061 0.4061 0.0000
Cd2 0.5939 0.5939 0.0000
Br1 0.0000 0.0000 0.0000
# Formation energy (no corrections)   -3.44 eV/f.u.
# Size of the total moment   1.1 μB/f.u.
# Electronic total energy   -2.091 eV per atom

Entry 8:
# BaCd2Br GGA-PBE relaxed
data_BaCd2Br
_chemical_formula_sum 'Ba1 Cd2 Br1'
_cell_length_a 4.2565
_cell_length_b 4.2565
_cell_length_c 7.6565
_cell_angle_alpha 90.00
_cell_angle_beta 90.00
_cell_angle_gamma 90.00
_symmetry_space_group_name_H-M 'P 1'
_symmetry_Int_Tables_number 1
_symmetry_space_group_name_Hall 'P 1'
loop_
_atom_site_label
_atom_site_fract_x
_atom_site_fract_y
_atom_site_fract_z
Ba1 0.0000 0.0000 0.0000
Cd1 0.0000 0.0000 0.5508
Cd2 0.5000 0.5000 0.6757
Br1 0.5000 0.5000 0.1831
# Formation energy (no corrections)   -2.76 eV/f.u.
# Excess energy over the best structure of this formula in the dataset   49 meV per atom
# Size of the total moment   0.0 μB/f.u.
# Electronic total energy   -2.047 eV per atom

Entry 9:
# Ba3Cd5Br12 GGA-PBE relaxed
data_Ba3Cd5Br12
_chemical_formula_sum 'Ba12 Cd20 Br48'
_cell_length_a 16.0127
_cell_length_b 16.0127
_cell_length_c 16.0127
_cell_angle_alpha 109.47
_cell_angle_beta 109.47
_cell_angle_gamma 109.47
_symmetry_space_group_name_H-M 'P 1'
_symmetry_Int_Tables_number 1
_symmetry_space_group_name_Hall 'P 1'
loop_
_atom_site_label
_atom_site_fract_x
_atom_site_fract_y
_atom_site_fract_z
Ba1 0.1250 0.2500 0.3750
Ba2 0.1250 0.3750 0.7500
Ba3 0.2500 0.3750 0.1250
Ba4 0.2500 0.8750 0.6250
Ba5 0.3750 0.1250 0.2500
Ba6 0.3750 0.7500 0.1250
Ba7 0.6250 0.2500 0.8750
Ba8 0.6250 0.8750 0.7500
Ba9 0.7500 0.1250 0.3750
Ba10 0.7500 0.6250 0.8750
Ba11 0.8750 0.6250 0.2500
Ba12 0.8750 0.7500 0.6250
Cd1 0.0000 0.0000 0.0000
Cd2 0.0000 0.0000 0.5000
Cd3 0.0000 0.5000 0.0000
Cd4 0.0000 0.5000 0.5000
Cd5 0.1250 0.7500 0.8750
Cd6 0.1250 0.8750 0.2500
Cd7 0.2500 0.1250 0.8750
Cd8 0.2500 0.6250 0.3750
Cd9 0.3750 0.2500 0.6250
Cd10 0.3750 0.6250 0.7500
Cd11 0.5000 0.0000 0.0000
Cd12 0.5000 0.0000 0.5000
Cd13 0.5000 0.5000 0.0000
Cd14 0.5000 0.5000 0.5000
Cd15 0.6250 0.3750 0.2500
Cd16 0.6250 0.7500 0.3750
Cd17 0.7500 0.3750 0.6250
Cd18 0.7500 0.8750 0.1250
Cd19 0.8750 0.1250 0.7500
Cd20 0.8750 0.2500 0.1250
Br1 0.0386 0.2342 0.1363
Br2 0.0386 0.3044 0.9022
Br3 0.0978 0.6363 0.4022
Br4 0.0978 0.7342 0.6956
Br5 0.0978 0.8637 0.4022
Br6 0.0978 0.9614 0.6956
Br7 0.1363 0.0386 0.2342
Br8 0.1363 0.5978 0.9022
Br9 0.1956 0.2342 0.5978
Br10 0.1956 0.4614 0.5978
Br11 0.2342 0.1363 0.0386
Br12 0.2342 0.5978 0.1956
Br13 0.2658 0.3044 0.9022
Br14 0.2658 0.4614 0.3637
Br15 0.3044 0.9022 0.0386
Br16 0.3044 0.9022 0.2658
Br17 0.3637 0.2658 0.4614
Br18 0.3637 0.5978 0.9022
Br19 0.4022 0.0978 0.6363
Br20 0.4022 0.0978 0.8637
Br21 0.4022 0.8044 0.5386
Br22 0.4022 0.8044 0.7658
Br23 0.4614 0.3637 0.2658
Br24 0.4614 0.5978 0.1956
Br25 0.5386 0.4022 0.8044
Br26 0.5386 0.6363 0.7342
Br27 0.5978 0.1956 0.2342
Br28 0.5978 0.1956 0.4614
Br29 0.5978 0.9022 0.1363
Br30 0.5978 0.9022 0.3637
Br31 0.6363 0.4022 0.0978
Br32 0.6363 0.7342 0.5386
Br33 0.6956 0.0978 0.7342
Br34 0.6956 0.0978 0.9614
Br35 0.7342 0.5386 0.6363
Br36 0.7342 0.6956 0.0978
Br37 0.7658 0.4022 0.8044
Br38 0.7658 0.8637 0.9614
Br39 0.8044 0.5386 0.4022
Br40 0.8044 0.7658 0.4022
Br41 0.8637 0.4022 0.0978
Br42 0.8637 0.9614 0.7658
Br43 0.9022 0.0386 0.3044
Br44 0.9022 0.1363 0.5978
Br45 0.9022 0.2658 0.3044
Br46 0.9022 0.3637 0.5978
Br47 0.9614 0.6956 0.0978
Br48 0.9614 0.7658 0.8637
# Formation energy (no corrections)   -24.16 eV/f.u.
# Size of the total moment   0.0 μB/f.u.
# Electronic total energy   -2.729 eV per atom